[1]
The following is a PBE calculation of NaTbZnTe3 after structural relaxation, from the Open Quantum Materials Database.

Results
- Crystal system: orthorhombic
- Total moment: 0.000 μB/atom
- Calculated volume: 714.27 Å³/cell
- Relative energy among the computed polymorphs: 0.049 eV/atom
- Mass density: 5.86 g/cm³
- SG: Pnma (62)

Unit cell a=12.3991 b=4.3819 c=13.1466 alpha=90.00 beta=90.00 gamma=90.00
With the nearest neighbours (Å) after each atom.
Sites, in units of the cell vectors:
Na: 0.1851 0.2500 0.0114  7 Te 3.28-3.55, 2 Zn 3.48
Na: 0.3149 0.7500 0.5114  7 Te 3.28-3.55, 2 Zn 3.48
Na: 0.6851 0.2500 0.4886  7 Te 3.28-3.55, 2 Zn 3.48
Na: 0.8149 0.7500 0.9886  7 Te 3.28-3.55, 2 Zn 3.48
Tb: 0.0294 0.2500 0.3124  6 Te 3.12-3.47
Tb: 0.4706 0.7500 0.8124  6 Te 3.12-3.47
Tb: 0.5294 0.2500 0.1876  6 Te 3.12-3.47
Tb: 0.9706 0.7500 0.6876  6 Te 3.12-3.47
Zn: 0.2485 0.7500 0.2082  4 Te 2.63-2.70
Zn: 0.2515 0.2500 0.7082  4 Te 2.63-2.70
Zn: 0.7485 0.7500 0.2918  4 Te 2.63-2.70
Zn: 0.7515 0.2500 0.7918  4 Te 2.63-2.70
Te: 0.0476 0.7500 0.1437  1 Zn 2.63
Te: 0.0973 0.2500 0.5682  1 Zn 2.65
Te: 0.2169 0.7500 0.8242  2 Zn 2.70
Te: 0.2831 0.2500 0.3242  2 Zn 2.70
Te: 0.4027 0.7500 0.0682  1 Zn 2.65
Te: 0.4524 0.2500 0.6437  1 Zn 2.63
Te: 0.5476 0.7500 0.3563  1 Zn 2.63
Te: 0.5973 0.2500 0.9318  1 Zn 2.65
Te: 0.7169 0.7500 0.6758  2 Zn 2.70
Te: 0.7831 0.2500 0.1758  2 Zn 2.70
Te: 0.9027 0.7500 0.4318  1 Zn 2.65
Te: 0.9524 0.2500 0.8563  1 Zn 2.63

---

[2]
The following is a PBE calculation of NaTbZnTe3 after structural relaxation, from the Open Quantum Materials Database.

Results
- Crystal system: monoclinic
- Total moment: 0.000 μB/atom
- Calculated volume: 384.76 Å³/cell
- Relative energy among the computed polymorphs: 0.011 eV/atom
- Mass density: 5.44 g/cm³
- SG: P2_1/m (11)

Unit cell a=8.8139 b=4.3246 c=10.4670 alpha=90.00 beta=105.33 gamma=90.00
With the nearest neighbours (Å) after each atom.
Sites, in units of the cell vectors:
Na: 0.2204 0.2500 0.2538  4 Te 3.21-3.30
Na: 0.7796 0.7500 0.7462  4 Te 3.21-3.30
Tb: 0.3198 0.7500 0.8554  6 Te 3.08-3.22
Tb: 0.6802 0.2500 0.1446  6 Te 3.08-3.22
Zn: 0.0811 0.2500 0.6030  4 Te 2.64-2.77
Zn: 0.9189 0.7500 0.3970  4 Te 2.64-2.77
Te: 0.0680 0.2500 0.8524  1 Zn 2.64
Te: 0.2335 0.7500 0.5365  3 Zn 2.73-2.77
Te: 0.4374 0.7500 0.1599  3 Tb 3.08, 2 Na 3.21
Te: 0.5626 0.2500 0.8401  3 Tb 3.08, 2 Na 3.21
Te: 0.7665 0.2500 0.4635  3 Zn 2.73-2.77
Te: 0.9320 0.7500 0.1476  1 Zn 2.64

---

[3]
The following is a PBE calculation of NaTbZnTe3 after structural relaxation, from the Open Quantum Materials Database.

Results
- Crystal system: monoclinic
- Total moment: 0.000 μB/atom
- Calculated volume: 376.40 Å³/cell
- Relative energy among the computed polymorphs: 0.111 eV/atom
- Mass density: 5.56 g/cm³
- SG: C2/m (12)

Unit cell a=10.4522 b=10.4522 c=8.6904 alpha=102.51 beta=102.51 gamma=23.99
With the nearest neighbours (Å) after each atom.
Sites, in units of the cell vectors:
Na: 0.1186 0.1186 0.0678  6 Te 3.20-3.35
Na: 0.8814 0.8814 0.9322  6 Te 3.20-3.35
Tb: 0.1725 0.1725 0.5780  5 Te 3.04-3.08
Tb: 0.8275 0.8275 0.4220  5 Te 3.04-3.08
Zn: 0.4595 0.4595 0.2741  4 Te 2.63-2.92
Zn: 0.5405 0.5405 0.7259  4 Te 2.63-2.92
Te: 0.0000 0.0000 0.5000  4 Zn 2.92
Te: 0.3253 0.3253 0.6652  3 Tb 3.04-3.05, 2 Na 3.20
Te: 0.3287 0.3287 0.1714  1 Zn 2.63
Te: 0.5000 0.5000 0.0000  2 Zn 2.69
Te: 0.6713 0.6713 0.8286  1 Zn 2.63
Te: 0.6747 0.6747 0.3348  3 Tb 3.04-3.05, 2 Na 3.20

---

[4]
The following is a PBE calculation of NaTbZnTe3 after structural relaxation, from the Open Quantum Materials Database.

Results
- Crystal system: orthorhombic
- Total moment: 0.000 μB/atom
- Calculated volume: 369.33 Å³/cell
- Relative energy among the computed polymorphs: 0.000 eV/atom
- Mass density: 5.67 g/cm³
- SG: Cmcm (63)

Unit cell a=7.6879 b=7.6879 c=11.6248 alpha=90.00 beta=90.00 gamma=147.48
With the nearest neighbours (Å) after each atom.
Sites, in units of the cell vectors:
Na: 0.2369 0.7631 0.7500  6 Te 3.34-3.42, 2 Zn 3.72
Na: 0.7631 0.2369 0.2500  6 Te 3.34-3.42, 2 Zn 3.72
Tb: 0.0000 0.0000 0.0000  6 Te 3.09-3.15
Tb: 0.0000 0.0000 0.5000  6 Te 3.09-3.15
Zn: 0.4687 0.5313 0.2500  4 Te 2.66-2.74
Zn: 0.5313 0.4687 0.7500  4 Te 2.66-2.74
Te: 0.0831 0.9169 0.2500  2 Zn 2.74
Te: 0.3599 0.6401 0.0676  1 Zn 2.66
Te: 0.3599 0.6401 0.4324  1 Zn 2.66
Te: 0.6401 0.3599 0.5676  1 Zn 2.66
Te: 0.6401 0.3599 0.9324  1 Zn 2.66
Te: 0.9169 0.0831 0.7500  2 Zn 2.74

---

[5]
The following is a PBE calculation of NaTbTl after structural relaxation, from the Open Quantum Materials Database.

Results
- Crystal system: cubic
- Total moment: 0.310 μB/atom
- Calculated volume: 96.71 Å³/cell
- Relative energy among the computed polymorphs: 0.000 eV/atom
- Mass density: 6.63 g/cm³
- SG: F-43m (216)

Unit cell a=5.1522 b=5.1522 c=5.1522 alpha=60.00 beta=60.00 gamma=60.00
With the nearest neighbours (Å) after each atom.
Sites, in units of the cell vectors:
Na: 0.0000 0.0000 0.0000  4 Tl 3.16
Tb: 0.5000 0.5000 0.5000  4 Tl 3.16
Tl: 0.2500 0.2500 0.2500  4 Tb 3.16, 4 Na 3.16

---

[6]
The following is a PBE calculation of Na4TbTm3 after structural relaxation, from the Open Quantum Materials Database.

Results
- Crystal system: tetragonal
- Total moment: 0.004 μB/atom
- Final energy: -2.07 eV/atom
- Calculated volume: 249.53 Å³/cell
- Mass density: 5.04 g/cm³
- SG: I4/mmm (139)

Unit cell a=7.7115 b=7.7115 c=7.7115 alpha=131.82 beta=131.82 gamma=70.51
With the nearest neighbours (Å) after each atom.
Sites, in units of the cell vectors:
Na: 0.0000 0.5000 0.5000  2 Tb 3.15, 4 Tm 3.15
Na: 0.2502 0.2502 0.0000  5 Tm 3.15, 1 Tb 3.15
Na: 0.5000 0.0000 0.5000  2 Tb 3.15, 4 Tm 3.15
Na: 0.7498 0.7498 0.0000  5 Tm 3.15, 1 Tb 3.15
Tb: 0.0000 0.0000 0.0000  6 Na 3.15
Tm: 0.2500 0.7500 0.5000  6 Na 3.15
Tm: 0.5000 0.5000 0.0000  6 Na 3.15
Tm: 0.7500 0.2500 0.5000  6 Na 3.15

---

[7]
The following is a PBE calculation of NaTbU after structural relaxation, from the Open Quantum Materials Database.

Results
- Crystal system: cubic
- Total moment: 1.825 μB/atom
- Calculated volume: 96.76 Å³/cell
- Relative energy among the computed polymorphs: 0.000 eV/atom
- Mass density: 7.21 g/cm³
- SG: F-43m (216)

Unit cell a=5.1531 b=5.1531 c=5.1531 alpha=60.00 beta=60.00 gamma=60.00
With the nearest neighbours (Å) after each atom.
Sites, in units of the cell vectors:
Na: 0.0000 0.0000 0.0000  4 Tb 3.16, 4 U 3.16
Tb: 0.7500 0.7500 0.7500  4 Na 3.16
U: 0.2500 0.2500 0.2500  4 Na 3.16

---

[8]
The following is a PBE calculation of NaTbZn after structural relaxation, from the Open Quantum Materials Database.

Results
- Crystal system: cubic
- Total moment: 0.010 μB/atom
- Final energy: -2.17 eV/atom
- Calculated volume: 82.87 Å³/cell
- Mass density: 4.96 g/cm³
- SG: F-43m (216)

Unit cell a=4.8937 b=4.8937 c=4.8937 alpha=60.00 beta=60.00 gamma=60.00
With the nearest neighbours (Å) after each atom.
Sites, in units of the cell vectors:
Na: 0.0000 0.0000 0.0000  4 Zn 3.00
Tb: 0.5000 0.5000 0.5000  4 Zn 3.00
Zn: 0.2500 0.2500 0.2500  4 Tb 3.00, 4 Na 3.00

---

> Which value of mass density does entry 4 give?

5.67 g/cm³